(1)
Compound: CuReMo2Pb
Source: Alexandria via LeMat-Bulk
Functional: PBE
Structure: relaxed

abc: 5.089 5.089 4.555
angles: 90.00 90.00 90.00
Space group P4/mmm (No. 123)
Asymmetric unit:
Cu 0.000 0.000 0.000 (multiplicity 1)
Re 0.500 0.500 0.000 (multiplicity 1)
Mo 0.000 0.500 0.500 (multiplicity 2)
Pb 0.000 0.000 0.500 (multiplicity 1)

Output
The formation energy from the elements comes out at 2.65 eV per atom. As for the crystal system: tetragonal. For the total magnetic moment, the calculation gives 0.40 μB per formula unit.

(2)
Compound: ScCuMo2Pb
Source: Alexandria via LeMat-Bulk
Functional: PBE
Structure: relaxed

abc: 5.109 5.109 4.664
angles: 90.00 90.00 90.00
Space group P4/mmm (No. 123)
Asymmetric unit:
Sc 0.000 0.000 0.000 (multiplicity 1)
Cu 0.500 0.500 0.000 (multiplicity 1)
Mo 0.000 0.500 0.500 (multiplicity 2)
Pb 0.500 0.500 0.500 (multiplicity 1)

Output
The formation energy from the elements comes out at 1.72 eV per atom. As for the crystal system: tetragonal. For the total magnetic moment, the calculation gives 0.00 μB per formula unit.

(3)
Compound: Sr2CuMoPb
Source: Alexandria via LeMat-Bulk
Functional: PBE
Structure: relaxed

abc: 6.384 6.384 4.904
angles: 90.00 90.00 90.00
Space group P4/mmm (No. 123)
Asymmetric unit:
Sr 0.000 0.500 0.000 (multiplicity 2)
Cu 0.000 0.000 0.500 (multiplicity 1)
Mo 0.500 0.500 0.500 (multiplicity 1)
Pb 0.000 0.000 0.000 (multiplicity 1)

Output
The formation energy from the elements comes out at 0.97 eV per atom. As for the crystal system: tetragonal. For the total magnetic moment, the calculation gives 4.95 μB per formula unit.

(4)
Compound: TaCu2MoPb
Source: Alexandria via LeMat-Bulk
Functional: PBE
Structure: relaxed

abc: 4.584 4.584 5.197
angles: 90.00 90.00 90.00
Space group P4/mmm (No. 123)
Asymmetric unit:
Ta 0.000 0.000 0.000 (multiplicity 1)
Cu 0.000 0.500 0.500 (multiplicity 2)
Mo 0.500 0.500 0.000 (multiplicity 1)
Pb 0.500 0.500 0.500 (multiplicity 1)

Output
The formation energy from the elements comes out at 1.88 eV per atom. As for the crystal system: tetragonal. For the total magnetic moment, the calculation gives 0.00 μB per formula unit.

(5)
Compound: VCuMo2Pb
Source: Alexandria via LeMat-Bulk
Functional: PBE
Structure: relaxed

abc: 4.513 4.513 5.156
angles: 90.00 90.00 90.00
Space group P4/mmm (No. 123)
Asymmetric unit:
V 0.000 0.000 0.000 (multiplicity 1)
Cu 0.500 0.500 0.500 (multiplicity 1)
Mo 0.000 0.500 0.000 (multiplicity 2)
Pb 0.000 0.000 0.500 (multiplicity 1)

Output
The formation energy from the elements comes out at 1.41 eV per atom. As for the crystal system: tetragonal. For the total magnetic moment, the calculation gives 1.39 μB per formula unit.

(6)
Compound: CuMoPd4
Source: Alexandria via LeMat-Bulk
Functional: PBE
Structure: relaxed

abc: 2.759 3.962 8.175
angles: 90.00 90.00 90.00
Space group Pmmm (No. 47)
Asymmetric unit:
Cu 0.000 0.000 0.000 (multiplicity 1)
Mo 0.500 0.500 0.500 (multiplicity 1)
Pd 0.000 0.000 0.334 (multiplicity 2)
Pd 0.500 0.500 0.166 (multiplicity 2)

Output
The formation energy from the elements comes out at -0.08 eV per atom. As for the crystal system: orthorhombic. For the total magnetic moment, the calculation gives 0.00 μB per formula unit.

(7)
Compound: Cu2MoPd2
Source: Alexandria via LeMat-Bulk
Functional: PBE
Structure: relaxed

abc: 2.745 19.451 2.733
angles: 90.00 90.00 90.00
Space group Cmmm (No. 65)
Asymmetric unit:
Cu 0.000 0.198 0.000 (multiplicity 4)
Mo 0.000 0.000 0.000 (multiplicity 2)
Pd 0.000 0.398 0.500 (multiplicity 4)

Output
The formation energy from the elements comes out at 0.03 eV per atom. As for the crystal system: orthorhombic. For the total magnetic moment, the calculation gives 0.00 μB per formula unit.

(8)
Compound: CuMoPd14
Source: Alexandria via LeMat-Bulk
Functional: PBE
Structure: relaxed

abc: 5.602 5.602 7.768
angles: 90.00 90.00 90.00
Space group P4/mmm (No. 123)
Asymmetric unit:
Cu 0.000 0.000 0.000 (multiplicity 1)
Mo 0.500 0.500 0.000 (multiplicity 1)
Pd 0.000 0.000 0.500 (multiplicity 1)
Pd 0.000 0.500 0.000 (multiplicity 2)
Pd 0.000 0.500 0.500 (multiplicity 2)
Pd 0.252 0.252 0.242 (multiplicity 8)
Pd 0.500 0.500 0.500 (multiplicity 1)

Output
The formation energy from the elements comes out at -0.05 eV per atom. As for the crystal system: tetragonal. For the total magnetic moment, the calculation gives 0.00 μB per formula unit.

(9)
Compound: CuMo3Pd
Source: Alexandria via LeMat-Bulk
Functional: PBE
Structure: relaxed

abc: 4.714 4.714 4.714
angles: 90.00 90.00 90.00
Space group Pm-3m (No. 221)
Asymmetric unit:
Cu 0.000 0.000 0.000 (multiplicity 1)
Mo 0.000 0.500 0.500 (multiplicity 3)
Pd 0.500 0.500 0.500 (multiplicity 1)

Output
The formation energy from the elements comes out at 2.13 eV per atom. As for the crystal system: cubic. For the total magnetic moment, the calculation gives 0.00 μB per formula unit.

(10)
Compound: CuMoPd5
Source: Alexandria via LeMat-Bulk
Functional: PBE
Structure: relaxed

abc: 9.201 5.715 9.232
angles: 90.00 109.17 90.00
Space group C2/c (No. 15)
Asymmetric unit:
Cu 0.250 0.250 0.000 (multiplicity 4)
Mo 0.000 0.125 0.250 (multiplicity 4)
Pd 0.000 0.314 0.750 (multiplicity 4)
Pd 0.104 0.339 0.488 (multiplicity 8)
Pd 0.245 0.058 0.731 (multiplicity 8)

Output
The formation energy from the elements comes out at 0.19 eV per atom. As for the crystal system: monoclinic. For the total magnetic moment, the calculation gives 0.00 μB per formula unit.

(11)
Compound: CuMoPd4
Source: Alexandria via LeMat-Bulk
Functional: PBE
Structure: relaxed

abc: 4.733 8.359 4.739
angles: 90.00 108.21 90.00
Space group C2/m (No. 12)
Asymmetric unit:
Cu 0.000 0.000 0.000 (multiplicity 2)
Mo 0.000 0.500 0.500 (multiplicity 2)
Pd 0.000 0.163 0.500 (multiplicity 4)
Pd 0.000 0.339 0.000 (multiplicity 4)

Output
The formation energy from the elements comes out at -0.04 eV per atom. As for the crystal system: monoclinic. For the total magnetic moment, the calculation gives 0.00 μB per formula unit.

(12)
Compound: CuMo2Pd9
Source: Alexandria via LeMat-Bulk
Functional: PBE
Structure: relaxed

abc: 3.930 3.930 11.787
angles: 90.00 90.00 90.00
Space group P4/mmm (No. 123)
Asymmetric unit:
Cu 0.000 0.000 0.000 (multiplicity 1)
Mo 0.000 0.000 0.324 (multiplicity 2)
Pd 0.000 0.500 0.169 (multiplicity 4)
Pd 0.000 0.500 0.500 (multiplicity 2)
Pd 0.500 0.500 0.000 (multiplicity 1)
Pd 0.500 0.500 0.335 (multiplicity 2)

Output
The formation energy from the elements comes out at -0.05 eV per atom. As for the crystal system: tetragonal. For the total magnetic moment, the calculation gives 1.62 μB per formula unit.